Computed, not measured: a geometry-optimized CeBeIr structure at the GGA-PBE level of DFT.

```
data_CeBeIr
_chemical_formula_sum 'Ce2 Be2 Ir2'
_cell_length_a 4.7152
_cell_length_b 5.2197
_cell_length_c 5.2197
_cell_angle_alpha 65.21
_cell_angle_beta 63.15
_cell_angle_gamma 63.15
_space_group_name_H-M_alt 'P 1'
_space_group_IT_number 1
loop_
_space_group_symop_operation_xyz
'x,y,z'
loop_
_atom_site_label
_atom_site_type_symbol
_atom_site_fract_x
_atom_site_fract_y
_atom_site_fract_z
Ce1 Ce 0.8684 0.3816 0.3816
Ce2 Ce 0.1316 0.6184 0.6184
Be1 Be 0.0000 0.0000 0.0000
Be2 Be 0.5000 0.0000 0.0000
Ir1 Ir 0.5000 0.5000 0.0000
Ir2 Ir 0.5000 0.0000 0.5000
```

Results
Space group: Imma, No. 74
Formation energy, eV/atom: -0.518
Calculated total energy, eV/atom: -6.69
M_tot, μB per formula unit: 0.00
Excess energy over the best structure of this formula in the dataset, meV/atom: 44


Computed, not measured: a geometry-optimized CeBeIr2 structure at the GGA-PBE level of DFT.

```
data_CeBeIr2
_chemical_formula_sum 'Ce2 Be2 Ir4'
_cell_length_a 4.0024
_cell_length_b 4.0565
_cell_length_c 8.6320
_cell_angle_alpha 103.59
_cell_angle_beta 90.00
_cell_angle_gamma 90.00
_space_group_name_H-M_alt 'P 1'
_space_group_IT_number 1
loop_
_space_group_symop_operation_xyz
'x,y,z'
loop_
_atom_site_label
_atom_site_type_symbol
_atom_site_fract_x
_atom_site_fract_y
_atom_site_fract_z
Ce1 Ce 0.0000 0.8622 0.7244
Ce2 Ce 0.0000 0.1378 0.2756
Be1 Be 0.5000 0.5693 0.1386
Be2 Be 0.5000 0.4307 0.8614
Ir1 Ir 0.0000 0.5000 0.0000
Ir2 Ir 0.5000 0.0000 0.0000
Ir3 Ir 0.5000 0.7030 0.4059
Ir4 Ir 0.5000 0.2970 0.5941
```

Results
Space group: Cmmm, No. 65
Formation energy, eV/atom: -0.631
Calculated total energy, eV/atom: -7.48
M_tot, μB per formula unit: 0.00
Excess energy over the best structure of this formula in the dataset, meV/atom: 0